18
Lattice="7.699 0.000 0.000 -3.850 6.668 0.000 0.000 0.000 14.738" Properties=species:S:1:pos:R:3 comment="RbSrTlBr6 | the Alexandria database | PBE-GGA | optimized geometry" e_form_raw_ev_per_atom=-1.3091 energy_ev_per_cell=-53.7 volume_a3_per_cell=757 pbc="T T T"
Rb 0.000 0.000 0.000
Rb 0.000 0.000 7.369
Sr 0.000 4.445 3.684
Sr 3.850 2.223 11.053
Tl 3.850 2.223 3.684
Tl 0.000 4.445 11.053
Br 2.570 4.108 2.030
Br 6.122 2.388 2.030
Br -0.993 6.496 9.398
Br -2.272 4.280 12.708
Br 1.577 2.388 5.339
Br 5.129 4.108 5.339
Br 0.993 6.496 12.708
Br 4.843 0.172 5.339
Br -1.279 2.560 9.398
Br 2.857 0.172 2.030
Br 2.272 4.280 9.398
Br 1.279 2.560 12.708



20
Lattice="8.050 0.000 -0.069 0.000 8.475 0.000 -0.027 0.000 11.579" Properties=species:S:1:pos:R:3 comment="Rb2SrTlBr6 | the Alexandria database | PBE-GGA | optimized geometry" e_form_raw_ev_per_atom=-1.4893 e_above_lowest_polymorph_mev_per_atom=0 energy_ev_per_cell=-61.8 volume_a3_per_cell=790 n_ef_per_ev_fu=6.5 pbc="T T T"
Rb 0.211 7.830 2.874
Rb 4.222 4.883 8.629
Rb 7.813 0.646 8.637
Rb 3.801 3.592 2.881
Sr 4.025 0.000 -0.034
Sr -0.013 4.238 5.790
Tl 4.012 0.000 5.755
Tl 0.000 4.238 0.000
Br 2.449 5.924 0.625
Br 6.460 6.789 6.380
Br 5.575 2.551 10.885
Br 1.563 1.687 5.130
Br 2.455 5.923 5.131
Br 6.467 6.789 10.886
Br 5.568 2.552 6.380
Br 1.556 1.686 0.624
Br 7.160 4.509 2.811
Br 3.122 8.204 8.635
Br 0.863 3.966 8.700
Br 4.902 0.271 2.876



7
Lattice="5.965 0.000 0.000 0.000 5.965 0.000 -2.983 -2.983 8.623" Properties=species:S:1:pos:R:3 comment="RbSrTlBr4 | the Alexandria database | PBE-GGA | optimized geometry" e_form_raw_ev_per_atom=-1.6005 energy_ev_per_cell=-22.9 volume_a3_per_cell=307 n_ef_per_ev_fu=0.0 pbc="T T T"
Rb 2.983 2.983 2.317
Sr 2.983 2.983 8.597
Tl 0.000 0.000 6.073
Br 0.000 2.983 0.096
Br 2.983 0.000 0.096
Br 2.983 2.983 5.632
Br 0.000 0.000 3.057



18
Lattice="-2.858 -0.587 -7.288 5.225 -5.249 2.602 -11.018 -8.487 5.004" Properties=species:S:1:pos:R:3 comment="RbSrUBr6 | the Alexandria database | PBE-GGA | optimized geometry" e_form_raw_ev_per_atom=-1.6834 energy_ev_per_cell=-78.3 volume_a3_per_cell=789 pbc="T T T"
Rb 0.000 0.000 0.000
Rb -5.509 -4.244 2.502
Sr -0.224 -5.817 0.556
Sr -8.427 -8.507 -0.238
U -2.918 -4.263 -2.740
U -5.733 -10.061 3.059
Br -0.071 -4.800 -2.337
Br -2.424 -3.644 -5.556
Br -2.901 -10.790 3.103
Br -6.228 -10.679 5.874
Br -3.186 -5.213 0.013
Br -3.569 -6.932 -3.746
Br -6.142 -12.869 2.349
Br -5.750 -3.533 -2.785
Br -5.082 -7.392 4.064
Br -2.509 -1.455 -2.030
Br -5.466 -9.110 0.305
Br -8.580 -9.523 2.656



10
Lattice="7.964 0.000 0.000 0.000 7.964 0.000 3.982 3.982 5.631" Properties=species:S:1:pos:R:3 comment="Rb2SrVBr6 | the Alexandria database | PBE-GGA | optimized geometry" e_form_raw_ev_per_atom=-1.5445 energy_ev_per_cell=-38.2 volume_a3_per_cell=357 n_ef_per_ev_fu=0.0 pbc="T T T"
Sr 0.000 0.000 0.000
Br 3.982 3.982 2.639
Br 7.964 7.964 2.992
Br 2.116 2.116 0.000
Br 5.848 5.848 0.000
Br 5.848 2.116 0.000
Br 2.116 5.848 0.000
Rb 7.964 3.982 2.816
Rb 3.982 7.964 2.816
V 3.982 3.982 0.000



12
Lattice="6.968 0.014 -0.003 0.057 6.725 -0.004 0.008 0.015 9.394" Properties=species:S:1:pos:R:3 comment="RbSr2VBr8 | the Alexandria database | PBE-GGA | optimized geometry" e_form_raw_ev_per_atom=-1.5616 energy_ev_per_cell=-45.6 volume_a3_per_cell=440 n_ef_per_ev_fu=9.2 pbc="T T T"
Rb 0.004 0.008 4.697
Sr 3.519 3.379 7.116
Sr 3.515 3.375 2.272
V 0.000 0.000 0.000
Br 1.071 5.235 1.800
Br 4.871 5.203 9.386
Br 5.950 1.504 1.798
Br 5.963 1.520 7.588
Br 2.163 1.551 0.002
Br 1.083 5.250 7.590
Br 4.323 4.984 4.692
Br 2.711 1.770 4.696



5
Lattice="-6.480 4.523 1.296 0.306 -1.087 5.326 4.683 6.412 1.039" Properties=species:S:1:pos:R:3 comment="Rb2SrYBr | the Alexandria database | PBE-GGA | optimized geometry" e_form_raw_ev_per_atom=0.0721 energy_ev_per_cell=-11.4 volume_a3_per_cell=349 n_ef_per_ev_fu=5.9 pbc="T T T"
Y 0.000 0.000 0.000
Sr -0.745 4.924 3.830
Br 0.153 -0.543 2.663
Rb 2.342 3.206 0.520
Rb -3.240 2.261 0.648



12
Lattice="7.190 -0.011 -0.004 0.032 6.926 -0.007 0.007 0.012 9.545" Properties=species:S:1:pos:R:3 comment="RbSr2YBr8 | the Alexandria database | PBE-GGA | optimized geometry" e_form_raw_ev_per_atom=-1.9543 energy_ev_per_cell=-47.6 volume_a3_per_cell=475 n_ef_per_ev_fu=0.0 pbc="T T T"
Rb 0.003 0.006 4.772
Sr 3.616 3.467 7.161
Sr 3.612 3.461 2.373
Y 0.000 0.000 0.000
Br 1.164 5.313 1.981
Br 4.907 5.189 9.536
Br 6.058 1.606 1.981
Br 6.064 1.615 7.553
Br 2.321 1.739 -0.002
Br 1.170 5.321 7.553
Br 4.488 5.088 4.764
Br 2.741 1.840 4.770



5
Lattice="8.029 0.000 0.000 0.000 6.138 0.000 0.000 0.000 8.029" Properties=species:S:1:pos:R:3 comment="Rb2SrZnBr | the Alexandria database | PBE-GGA | optimized geometry" e_form_raw_ev_per_atom=0.0738 energy_ev_per_cell=-6.2 volume_a3_per_cell=396 n_ef_per_ev_fu=7.0 pbc="T T T"
Sr 0.000 0.000 0.000
Zn 0.000 3.069 0.000
Br 4.014 3.069 4.014
Rb 0.000 0.000 4.014
Rb 4.014 0.000 0.000



10
Lattice="10.922 0.000 0.000 0.000 10.922 0.000 0.000 0.000 3.251" Properties=species:S:1:pos:R:3 comment="Rb2Ta2Br | the Alexandria database | PBE-GGA | optimized geometry" e_form_raw_ev_per_atom=1.1165 e_above_lowest_polymorph_mev_per_atom=924 energy_ev_per_cell=-43.5 volume_a3_per_cell=388 n_ef_per_ev_fu=4.3 pbc="T T T"
Br 0.000 0.000 0.000
Br 5.461 5.461 0.000
Rb 2.320 7.781 1.625
Rb 7.781 8.601 1.625
Rb 8.601 3.140 1.625
Rb 3.140 2.320 1.625
Ta 4.659 10.120 0.000
Ta 10.120 6.263 0.000
Ta 6.263 0.802 0.000
Ta 0.802 4.659 0.000



8
Lattice="6.304 0.000 0.000 0.000 6.304 0.000 3.152 3.152 7.998" Properties=species:S:1:pos:R:3 comment="RbTaBr2 | the Alexandria database | PBE-GGA | optimized geometry" e_form_raw_ev_per_atom=0.0858 e_above_lowest_polymorph_mev_per_atom=146 energy_ev_per_cell=-31.6 volume_a3_per_cell=318 n_ef_per_ev_fu=2.4 pbc="T T T"
Br 5.401 1.576 1.999
Br 0.903 4.728 1.999
Br 4.728 4.054 5.998
Br 7.879 8.553 5.998
Rb 3.152 3.152 0.000
Rb 3.152 6.304 3.999
Ta 0.000 0.000 0.000
Ta 6.304 3.152 3.999



20
Lattice="3.437 7.799 -0.013 0.880 4.286 9.913 9.948 0.273 -0.168" Properties=species:S:1:pos:R:3 comment="Rb2TaBr7 | the Alexandria database | PBE-GGA | optimized geometry" e_form_raw_ev_per_atom=-1.1555 e_above_lowest_polymorph_mev_per_atom=0 energy_ev_per_cell=-74.1 volume_a3_per_cell=759 pbc="T T T"
Rb 9.954 8.705 9.435
Rb 5.201 7.925 4.560
Rb 9.064 4.433 5.172
Rb 4.311 3.653 0.297
Ta 10.967 8.732 2.340
Ta 3.298 3.626 7.392
Br 11.359 8.641 4.815
Br 6.190 6.918 -0.058
Br 11.261 5.636 7.675
Br 6.978 3.642 2.463
Br 9.895 6.299 2.344
Br 8.346 9.026 2.793
Br 9.902 2.354 2.236
Br 4.363 10.004 7.496
Br 5.919 3.332 6.939
Br 4.370 6.059 7.388
Br 7.286 8.715 7.269
Br 3.004 6.722 2.057
Br 8.075 5.439 9.790
Br 2.906 3.717 4.917



10
Lattice="-4.521 -6.524 -2.372 4.982 -1.079 -6.530 3.649 -7.330 -1.260" Properties=species:S:1:pos:R:3 comment="Rb3TaBr6 | the Alexandria database | PBE-GGA | optimized geometry" e_form_raw_ev_per_atom=-1.2523 energy_ev_per_cell=-37.3 volume_a3_per_cell=402 n_ef_per_ev_fu=13.2 pbc="T T T"
Br 2.115 -5.747 -2.692
Br 1.995 -9.186 -7.470
Br 0.104 -1.706 -1.997
Br 0.358 -5.897 -6.904
Br -2.389 -5.302 -3.304
Br 2.850 -2.300 -5.597
Rb 0.231 -3.801 -4.451
Rb -0.321 -8.828 -4.041
Rb 4.431 -6.105 -6.120
Ta 0.000 0.000 0.000



10
Lattice="8.414 0.000 0.000 0.000 8.414 0.000 4.207 4.207 5.956" Properties=species:S:1:pos:R:3 comment="Rb2TaBr7 | the Alexandria database | PBE-GGA | optimized geometry" e_form_raw_ev_per_atom=-1.1045 e_above_lowest_polymorph_mev_per_atom=51 energy_ev_per_cell=-36.5 volume_a3_per_cell=422 n_ef_per_ev_fu=0.0 pbc="T T T"
Br 4.207 4.207 0.000
Br 4.207 4.207 3.408
Br 8.414 8.414 2.548
Br 1.802 1.802 0.000
Br 6.612 6.612 0.000
Br 6.612 1.802 0.000
Br 1.802 6.612 0.000
Rb 8.414 4.207 2.978
Rb 4.207 8.414 2.978
Ta 0.000 0.000 0.000



8
Lattice="13.180 0.000 0.000 0.000 13.180 0.000 6.590 6.590 2.542" Properties=species:S:1:pos:R:3 comment="Rb2TaBr | the Alexandria database | PBE-GGA | optimized geometry" e_form_raw_ev_per_atom=0.7222 e_above_lowest_polymorph_mev_per_atom=0 energy_ev_per_cell=-25.1 volume_a3_per_cell=442 n_ef_per_ev_fu=2.7 pbc="T T T"
Br 6.590 6.590 0.000
Br 6.590 13.180 1.271
Rb 7.722 3.295 0.636
Rb 5.457 9.885 0.636
Rb 9.885 12.047 1.907
Rb 16.475 14.312 1.907
Ta 0.000 0.000 0.000
Ta 13.180 6.590 1.271



4
Lattice="-2.943 1.826 3.609 -4.867 -1.152 0.080 -1.792 -3.042 3.544" Properties=species:S:1:pos:R:3 comment="RbTa2Br | the Alexandria database | PBE-GGA | optimized geometry" e_form_raw_ev_per_atom=2.2107 e_above_lowest_polymorph_mev_per_atom=973 energy_ev_per_cell=-17.5 volume_a3_per_cell=89 n_ef_per_ev_fu=5.7 pbc="T T T"
Br 0.000 0.000 0.000
Rb -4.801 -1.184 3.617
Ta -2.401 -0.592 1.808
Ta -7.202 -1.776 5.425



19
Lattice="-9.348 -0.847 2.967 1.425 -8.714 4.351 1.716 3.910 8.870" Properties=species:S:1:pos:R:3 comment="Rb6TaBr12 | the Alexandria database | PBE-GGA | optimized geometry" e_form_raw_ev_per_atom=-1.3099 energy_ev_per_cell=-62.6 volume_a3_per_cell=947 n_ef_per_ev_fu=24.0 pbc="T T T"
Rb -8.052 -0.906 8.638
Rb -6.396 -4.779 4.377
Rb -3.153 2.509 8.165
Rb 1.845 -4.745 7.549
Rb 0.189 -0.873 11.810
Rb -3.054 -8.160 8.022
Ta 0.000 0.000 0.000
Br -0.150 -6.945 9.524
Br -8.150 -4.175 7.424
Br -2.584 1.210 11.438
Br -6.056 1.294 6.663
Br 1.944 -1.477 8.763
Br -3.623 -6.861 4.749
Br 1.683 -4.215 11.235
Br -0.124 -7.387 5.852
Br 0.327 1.824 9.241
Br -7.889 -1.436 4.952
Br -6.083 1.735 10.335
Br -6.533 -7.475 6.946



10
Lattice="7.699 0.000 0.000 0.000 7.699 0.000 3.849 3.849 5.459" Properties=species:S:1:pos:R:3 comment="RbTaBr3 | the Alexandria database | PBE-GGA | optimized geometry" e_form_raw_ev_per_atom=-0.5990 energy_ev_per_cell=-41.7 volume_a3_per_cell=324 n_ef_per_ev_fu=3.0 pbc="T T T"
Br 3.849 3.849 2.730
Br 7.699 7.699 2.730
Br 1.925 1.925 0.000
Br 5.774 5.774 0.000
Br 5.774 1.925 0.000
Br 1.925 5.774 0.000
Rb 7.699 3.849 2.730
Rb 3.849 7.699 2.730
Ta 3.849 3.849 0.000
Ta 0.000 0.000 0.000



8
Lattice="4.459 0.000 0.000 0.000 4.459 0.000 2.230 2.230 11.951" Properties=species:S:1:pos:R:3 comment="RbTa2Br | the Alexandria database | PBE-GGA | optimized geometry" e_form_raw_ev_per_atom=1.2379 e_above_lowest_polymorph_mev_per_atom=0 energy_ev_per_cell=-42.8 volume_a3_per_cell=238 n_ef_per_ev_fu=4.1 pbc="T T T"
Br 2.230 2.230 0.000
Br 2.230 4.459 5.976
Rb 0.000 0.000 0.000
Rb 4.459 2.230 5.976
Ta 1.694 1.115 2.988
Ta 2.765 3.345 2.988
Ta 3.345 4.995 8.964
Ta 5.574 3.924 8.964



5
Lattice="-6.076 0.465 -2.241 2.044 -1.759 -5.906 -1.030 -6.233 1.500" Properties=species:S:1:pos:R:3 comment="Rb3TaBr | the Alexandria database | PBE-GGA | optimized geometry" e_form_raw_ev_per_atom=0.5860 e_above_lowest_polymorph_mev_per_atom=0 energy_ev_per_cell=-13.5 volume_a3_per_cell=274 n_ef_per_ev_fu=4.5 pbc="T T T"
Br 0.000 0.000 0.000
Rb 1.022 -0.879 -2.953
Rb -0.515 -3.116 0.750
Rb -3.038 0.233 -1.121
Ta -2.531 -3.763 -3.324